# 1
A plane-wave DFT calculation with PBE was carried out for a geometry-optimized Ba2Sr2Bi2O structure. Values from VASP.

- total magnetization (μB/cell) = 0.00
- formation energy without anion corrections (eV/atom) = -1.50
- raw total energy (eV/atom) = -4.35
- space group = I4/mmm

The structure in Quantum ESPRESSO input format:
```
&SYSTEM
  ibrav = 0, nat = 7, ntyp = 4
/
ATOMIC_SPECIES
Bi 208.98 Bi.upf
Ba 137.33 Ba.upf
Sr 87.62 Sr.upf
O 16.00 O.upf
CELL_PARAMETERS angstrom
-4.168 -2.896 0.926
3.005 -3.682 2.007
-0.250 7.148 6.858
ATOMIC_POSITIONS crystal
Bi 0.366 0.366 0.733
Ba 0.834 0.834 0.667
Sr 0.000 0.500 0.000
Sr 0.500 0.000 0.000
Ba 0.166 0.166 0.333
O 0.000 0.000 0.000
Bi 0.634 0.634 0.267
```

# 2
A plane-wave DFT calculation with PBE was carried out for a geometry-optimized BaSrTbBiO6 structure. Values from VASP.

- total magnetization (μB/cell) = 0.00
- formation energy without anion corrections (eV/atom) = -2.36
- raw total energy (eV/atom) = -6.55
- space group = F-43m

The structure in Quantum ESPRESSO input format:
```
&SYSTEM
  ibrav = 0, nat = 10, ntyp = 5
/
ATOMIC_SPECIES
O 16.00 O.upf
Tb 158.93 Tb.upf
Bi 208.98 Bi.upf
Ba 137.33 Ba.upf
Sr 87.62 Sr.upf
CELL_PARAMETERS angstrom
0.000 4.339 4.339
4.339 0.000 4.339
4.339 4.339 0.000
ATOMIC_POSITIONS crystal
O 0.244 0.244 0.756
Tb 0.500 0.500 0.500
Bi 0.000 0.000 0.000
O 0.244 0.756 0.244
O 0.756 0.244 0.244
O 0.756 0.244 0.756
Ba 0.750 0.750 0.750
O 0.756 0.756 0.244
Sr 0.250 0.250 0.250
O 0.244 0.756 0.756
```

# 3
A plane-wave DFT calculation with PBE was carried out for a geometry-optimized BaSrYBiO6 structure. Values from VASP.

- total magnetization (μB/cell) = 0.00
- formation energy without anion corrections (eV/atom) = -2.36
- raw total energy (eV/atom) = -6.73
- space group = F-43m

The structure in Quantum ESPRESSO input format:
```
&SYSTEM
  ibrav = 0, nat = 10, ntyp = 5
/
ATOMIC_SPECIES
O 16.00 O.upf
Sr 87.62 Sr.upf
Bi 208.98 Bi.upf
Y 88.91 Y.upf
Ba 137.33 Ba.upf
CELL_PARAMETERS angstrom
0.778 -5.004 -3.445
1.383 -5.351 2.640
-4.151 -4.501 0.156
ATOMIC_POSITIONS crystal
O 0.756 0.244 0.756
O 0.756 0.244 0.244
O 0.756 0.756 0.244
Sr 0.750 0.750 0.750
Bi 0.000 0.000 0.000
O 0.244 0.244 0.756
Y 0.500 0.500 0.500
O 0.244 0.756 0.756
Ba 0.250 0.250 0.250
O 0.244 0.756 0.244
```

# 4
A plane-wave DFT calculation with PBE was carried out for a geometry-optimized BaTaBiO6 structure. Values from VASP.

- total magnetization (μB/cell) = 0.00
- formation energy without anion corrections (eV/atom) = -2.15
- raw total energy (eV/atom) = -7.42
- space group = P-31c

The structure in Quantum ESPRESSO input format:
```
&SYSTEM
  ibrav = 0, nat = 18, ntyp = 4
/
ATOMIC_SPECIES
O 16.00 O.upf
Ba 137.33 Ba.upf
Ta 180.95 Ta.upf
Bi 208.98 Bi.upf
CELL_PARAMETERS angstrom
-1.625 -5.196 1.271
5.426 1.341 0.124
-1.000 3.019 11.060
ATOMIC_POSITIONS crystal
O 0.381 0.983 0.149
O 0.619 0.017 0.851
O 0.601 0.619 0.149
O 0.381 0.399 0.351
Ba 0.000 0.000 0.500
Ta 0.667 0.333 0.750
O 0.399 0.381 0.851
Ba 0.000 0.000 0.000
O 0.399 0.017 0.649
Ta 0.333 0.667 0.250
Bi 0.667 0.333 0.250
O 0.983 0.601 0.851
O 0.017 0.399 0.149
O 0.619 0.601 0.649
O 0.983 0.381 0.649
Bi 0.333 0.667 0.750
O 0.017 0.619 0.351
O 0.601 0.983 0.351
```

# 5
A plane-wave DFT calculation with PBE was carried out for a geometry-optimized Ba2TaBiO6 structure. Values from VASP.

- total magnetization (μB/cell) = 0.00
- formation energy without anion corrections (eV/atom) = -2.53
- raw total energy (eV/atom) = -7.47
- space group = C2/m

The structure in Quantum ESPRESSO input format:
```
&SYSTEM
  ibrav = 0, nat = 10, ntyp = 4
/
ATOMIC_SPECIES
O 16.00 O.upf
Ta 180.95 Ta.upf
Ba 137.33 Ba.upf
Bi 208.98 Bi.upf
CELL_PARAMETERS angstrom
-4.927 3.397 -1.184
-5.568 -2.451 0.455
-3.746 1.697 4.592
ATOMIC_POSITIONS crystal
O 0.697 0.233 0.807
Ta 0.500 0.500 0.000
Ba 0.751 0.751 0.243
O 0.233 0.697 0.807
Bi 0.000 0.000 0.500
O 0.729 0.729 0.707
O 0.767 0.303 0.193
O 0.303 0.767 0.193
Ba 0.249 0.249 0.757
O 0.271 0.271 0.293
```

# 6
A plane-wave DFT calculation with PBE was carried out for a geometry-optimized Ba3TbBi2O9 structure. Values from VASP.

- total magnetization (μB/cell) = 0.00
- formation energy without anion corrections (eV/atom) = -2.18
- raw total energy (eV/atom) = -6.37
- space group = P-3m1

The structure in Quantum ESPRESSO input format:
```
&SYSTEM
  ibrav = 0, nat = 15, ntyp = 4
/
ATOMIC_SPECIES
Ba 137.33 Ba.upf
Bi 208.98 Bi.upf
O 16.00 O.upf
Tb 158.93 Tb.upf
CELL_PARAMETERS angstrom
-1.773 -5.399 -2.508
5.218 0.301 3.356
-3.953 -1.625 6.291
ATOMIC_POSITIONS crystal
Ba 0.333 0.667 0.668
Bi 0.667 0.333 0.829
O 0.500 0.000 0.000
O 0.830 0.170 0.670
O 0.830 0.661 0.670
O 0.170 0.339 0.330
O 0.339 0.170 0.670
Tb 0.000 0.000 0.500
Ba 0.000 0.000 0.000
O 0.170 0.830 0.330
O 0.000 0.500 0.000
Bi 0.333 0.667 0.171
O 0.500 0.500 0.000
O 0.661 0.830 0.330
Ba 0.667 0.333 0.332
```

# 7
A plane-wave DFT calculation with PBE was carried out for a geometry-optimized BaTcBiO6 structure. Values from VASP.

- total magnetization (μB/cell) = 0.00
- formation energy without anion corrections (eV/atom) = -1.65
- raw total energy (eV/atom) = -6.75
- space group = P312

The structure in Quantum ESPRESSO input format:
```
&SYSTEM
  ibrav = 0, nat = 9, ntyp = 4
/
ATOMIC_SPECIES
O 16.00 O.upf
Bi 208.98 Bi.upf
Ba 137.33 Ba.upf
Tc 98.00 Tc.upf
CELL_PARAMETERS angstrom
-0.817 -5.425 1.432
4.316 -3.085 2.002
-1.304 1.581 5.246
ATOMIC_POSITIONS crystal
O 0.352 0.601 0.303
Bi 0.667 0.667 0.500
O 0.601 0.047 0.303
Ba 0.000 0.000 0.000
O 0.352 0.047 0.697
O 0.047 0.352 0.303
Tc 0.333 0.333 0.500
O 0.601 0.352 0.697
O 0.047 0.601 0.697
```

# 8
A plane-wave DFT calculation with PBE was carried out for a geometry-optimized Ba3Tc2BiO9 structure. Values from VASP.

- total magnetization (μB/cell) = 0.45
- formation energy without anion corrections (eV/atom) = -1.96
- raw total energy (eV/atom) = -6.97
- space group = P-3m1

The structure in Quantum ESPRESSO input format:
```
&SYSTEM
  ibrav = 0, nat = 15, ntyp = 4
/
ATOMIC_SPECIES
O 16.00 O.upf
Tc 98.00 Tc.upf
Ba 137.33 Ba.upf
Bi 208.98 Bi.upf
CELL_PARAMETERS angstrom
-3.905 -1.922 4.039
5.815 -0.123 1.198
-0.431 6.730 2.786
ATOMIC_POSITIONS crystal
O 0.179 0.821 0.311
O 0.179 0.359 0.311
Tc 0.667 0.333 0.856
Ba 0.000 0.000 0.000
O 0.641 0.821 0.311
O 0.000 0.500 0.000
O 0.821 0.179 0.689
Ba 0.333 0.667 0.661
Ba 0.667 0.333 0.339
Bi 0.000 0.000 0.500
O 0.500 0.000 0.000
Tc 0.333 0.667 0.144
O 0.500 0.500 0.000
O 0.359 0.179 0.689
O 0.821 0.641 0.689
```

# 9
A plane-wave DFT calculation with PBE was carried out for a geometry-optimized BaBiTe2O8 structure. Values from VASP.

- total magnetization (μB/cell) = 0.64
- formation energy without anion corrections (eV/atom) = -1.20
- raw total energy (eV/atom) = -5.52
- space group = R-3

The structure in Quantum ESPRESSO input format:
```
&SYSTEM
  ibrav = 0, nat = 12, ntyp = 4
/
ATOMIC_SPECIES
O 16.00 O.upf
Te 127.60 Te.upf
Bi 208.98 Bi.upf
Ba 137.33 Ba.upf
CELL_PARAMETERS angstrom
-5.246 0.008 -2.048
-2.539 -4.867 -1.258
-5.410 -2.016 6.109
ATOMIC_POSITIONS crystal
O 0.175 0.175 0.476
Te 0.254 0.254 0.238
O 0.596 0.285 0.180
Te 0.746 0.746 0.762
O 0.715 0.062 0.820
O 0.938 0.596 0.180
O 0.062 0.404 0.820
O 0.404 0.715 0.820
O 0.825 0.825 0.524
Bi 0.000 0.000 0.000
O 0.285 0.938 0.180
Ba 0.500 0.500 0.500
```

# 10
A plane-wave DFT calculation with PBE was carried out for a geometry-optimized BaBi2TeO8 structure. Values from VASP.

- total magnetization (μB/cell) = 0.76
- formation energy without anion corrections (eV/atom) = -1.23
- raw total energy (eV/atom) = -5.60
- space group = P2/m

The structure in Quantum ESPRESSO input format:
```
&SYSTEM
  ibrav = 0, nat = 12, ntyp = 4
/
ATOMIC_SPECIES
O 16.00 O.upf
Bi 208.98 Bi.upf
Te 127.60 Te.upf
Ba 137.33 Ba.upf
CELL_PARAMETERS angstrom
5.111 0.046 -0.003
0.090 5.111 -0.005
0.005 0.008 7.454
ATOMIC_POSITIONS crystal
O 0.184 0.814 0.808
O 0.184 0.814 0.192
O 0.658 0.660 0.500
O 0.342 0.340 0.500
Bi 0.500 0.500 0.766
Bi 0.500 0.500 0.234
Te 0.000 0.000 0.000
O 0.278 0.276 0.000
Ba 0.000 0.000 0.500
O 0.722 0.724 0.000
O 0.816 0.186 0.192
O 0.816 0.186 0.808
```

# 11
A plane-wave DFT calculation with PBE was carried out for a geometry-optimized Ba7BiTe2O2 structure. Values from VASP.

- total magnetization (μB/cell) = 0.67
- formation energy without anion corrections (eV/atom) = -1.52
- raw total energy (eV/atom) = -4.32
- space group = I4/mmm

The structure in Quantum ESPRESSO input format:
```
&SYSTEM
  ibrav = 0, nat = 12, ntyp = 4
/
ATOMIC_SPECIES
Ba 137.33 Ba.upf
O 16.00 O.upf
Bi 208.98 Bi.upf
Te 127.60 Te.upf
CELL_PARAMETERS angstrom
-3.090 3.210 -3.066
-3.291 -4.162 -1.045
-11.159 2.919 9.538
ATOMIC_POSITIONS crystal
Ba 0.697 0.697 0.606
Ba 0.406 0.906 0.187
O 0.599 0.599 0.802
Bi 0.000 0.000 0.000
Te 0.181 0.181 0.638
Ba 0.094 0.594 0.813
Ba 0.594 0.094 0.813
Te 0.819 0.819 0.362
O 0.401 0.401 0.198
Ba 0.303 0.303 0.394
Ba 0.500 0.500 0.000
Ba 0.906 0.406 0.187
```

# 12
A plane-wave DFT calculation with PBE was carried out for a geometry-optimized Ba5Bi2TeO structure. Values from VASP.

- total magnetization (μB/cell) = 0.00
- formation energy without anion corrections (eV/atom) = -1.47
- raw total energy (eV/atom) = -4.30
- space group = P4/mmm

The structure in Quantum ESPRESSO input format:
```
&SYSTEM
  ibrav = 0, nat = 9, ntyp = 4
/
ATOMIC_SPECIES
Ba 137.33 Ba.upf
Bi 208.98 Bi.upf
Te 127.60 Te.upf
O 16.00 O.upf
CELL_PARAMETERS angstrom
-5.163 0.008 1.237
1.100 -2.405 4.603
1.387 11.567 5.713
ATOMIC_POSITIONS crystal
Ba 0.500 0.500 0.000
Bi 0.500 0.500 0.705
Te 0.000 0.000 0.000
Ba 0.000 0.000 0.260
Ba 0.000 0.000 0.740
Ba 0.500 0.000 0.500
Bi 0.500 0.500 0.295
Ba 0.000 0.500 0.500
O 0.000 0.000 0.500
```